The following is a DFT calculation (GGA-PBE) of a geometry-optimized Na3Te4As2 structure.

Computed properties:
The calculation puts the offset from the most stable computed form at 59 kJ/mol of formula units.

Geometry as CIF:
```
data_Na3Te4As2
_chemical_formula_sum 'Na12 Te16 As8'
_cell_length_a 14.224
_cell_length_b 13.243
_cell_length_c 6.438
_cell_angle_alpha 90.00
_cell_angle_beta 92.24
_cell_angle_gamma 90.00
_space_group_name_H-M_alt 'C 1 2/c 1'
_space_group_IT_number 15
_space_group_name_Hall '-C 2yc'
loop_
_atom_site_label
_atom_site_type_symbol
_atom_site_fract_x
_atom_site_fract_y
_atom_site_fract_z
Na1 Na 0.000 0.171 0.250
Na2 Na 0.125 0.380 0.893
Te1 Te 0.116 0.372 0.393
Te2 Te 0.161 0.097 0.977
As1 As 0.197 0.120 0.592
```